1.
Mg2ZnCl: single point on PBEsol structure, meta-GGA SCAN.

The structure belongs to space group C2/m (No. 12); the cell edges are 6.3662, 7.7986 and 3.2321 Å and the angles 90.00°, 101.15° and 90.00°. The asymmetric unit holds Mg at (0.2500, 0.2500, 0.0000), Zn at (0.0000, 0.0000, 0.5000) and Cl at (0.0000, 0.5000, 0.5000).

As for the crystal system: monoclinic. The total energy comes out at -8.176 eV/atom. The offset from the most stable computed form is 85 meV/atom. As for the uncorrected formation energy: -316 meV per atom.

2.
Mg2ZnCl: single point on PBEsol structure, meta-GGA SCAN.

The structure belongs to space group Cm (No. 8); the cell edges are 11.0574, 3.1427 and 4.7005 Å and the angles 90.00°, 92.02° and 90.00°. The asymmetric unit holds Mg at (0.0000, 0.0000, 0.0000), Mg at (0.2363, 0.5000, 0.5185), Zn at (0.4682, 0.0000, 0.4930) and Cl at (0.2271, 0.0000, 0.9645).

As for the crystal system: monoclinic. The total energy comes out at -8.261 eV/atom. The offset from the most stable computed form is 0 meV/atom. As for the uncorrected formation energy: -401 meV per atom.

3.
MgZrCl2: single point on PBEsol structure, meta-GGA SCAN.

The structure belongs to space group Cmmm (No. 65); the cell edges are 6.1139, 7.9185 and 3.1165 Å and the angles 90.00°, 90.00° and 90.00°. The asymmetric unit holds Mg at (0.0000, 0.0000, 0.0000), Zr at (0.0000, 0.5000, 0.0000) and Cl at (0.2500, 0.2500, 0.5000).

As for the crystal system: orthorhombic. The total energy comes out at -13.369 eV/atom. The offset from the most stable computed form is 473 meV/atom. As for the uncorrected formation energy: -462 meV per atom.

4.
MgZrCl: single point on PBEsol structure, meta-GGA SCAN.

The structure belongs to space group F-43m (No. 216); the cell edges are 6.8657, 6.8657 and 6.8657 Å and the angles 90.00°, 90.00° and 90.00°. The asymmetric unit holds Mg at (0.0000, 0.0000, 0.0000), Zr at (0.2500, 0.2500, 0.7500) and Cl at (0.2500, 0.2500, 0.2500).

As for the crystal system: cubic. The total energy comes out at -13.909 eV/atom. The offset from the most stable computed form is 1255 meV/atom. As for the uncorrected formation energy: 641 meV per atom.

5.
Mg3ZrCl: single point on PBEsol structure, meta-GGA SCAN.

The structure belongs to space group Pm-3m (No. 221); the cell edges are 5.7670, 5.7670 and 5.7670 Å and the angles 90.00°, 90.00° and 90.00°. The asymmetric unit holds Mg at (0.0000, 0.0000, 0.5000), Zr at (0.0000, 0.0000, 0.0000) and Cl at (0.5000, 0.5000, 0.5000).

As for the crystal system: cubic. The total energy comes out at -9.771 eV/atom. As for the uncorrected formation energy: 948 meV per atom.

6.
MgZr3Cl: single point on PBEsol structure, meta-GGA SCAN.

The structure belongs to space group Pm-3m (No. 221); the cell edges are 4.7757, 4.7757 and 4.7757 Å and the angles 90.00°, 90.00° and 90.00°. The asymmetric unit holds Mg at (0.0000, 0.0000, 0.0000), Zr at (0.0000, 0.5000, 0.5000) and Cl at (0.5000, 0.5000, 0.5000).

As for the crystal system: cubic. The total energy comes out at -21.147 eV/atom. As for the uncorrected formation energy: -137 meV per atom.

7.
MgZrCl2: single point on PBEsol structure, meta-GGA SCAN.

The structure belongs to space group Pmmm (No. 47); the cell edges are 3.1254, 4.3031 and 5.8852 Å and the angles 90.00°, 90.00° and 90.00°. The asymmetric unit holds Mg at (0.0000, 0.0000, 0.0000), Zr at (0.5000, 0.0000, 0.5000), Cl at (0.0000, 0.5000, 0.5000) and Cl at (0.5000, 0.5000, 0.0000).

As for the crystal system: orthorhombic. The total energy comes out at -13.705 eV/atom. The offset from the most stable computed form is 137 meV/atom. As for the uncorrected formation energy: -798 meV per atom.

8.
Mg2ZrCl: single point on PBEsol structure, meta-GGA SCAN.

The structure belongs to space group F-43m (No. 216); the cell edges are 6.9304, 6.9304 and 6.9304 Å and the angles 90.00°, 90.00° and 90.00°. The asymmetric unit holds Mg at (0.0000, 0.0000, 0.0000), Mg at (0.2500, 0.2500, 0.2500), Zr at (0.0000, 0.0000, 0.5000) and Cl at (0.2500, 0.2500, 0.7500).

As for the crystal system: cubic. The total energy comes out at -11.970 eV/atom. The offset from the most stable computed form is 384 meV/atom. As for the uncorrected formation energy: 186 meV per atom.

9.
MgZrCl2: single point on PBEsol structure, meta-GGA SCAN.

The structure belongs to space group P2/m (No. 10); the cell edges are 3.2538, 4.4072 and 5.6703 Å and the angles 90.00°, 92.98° and 90.00°. The asymmetric unit holds Mg at (0.0000, 0.0000, 0.0000), Zr at (0.5000, 0.0000, 0.5000) and Cl at (0.3130, 0.5000, 0.2608).

As for the crystal system: monoclinic. The total energy comes out at -13.754 eV/atom. The offset from the most stable computed form is 88 meV/atom. As for the uncorrected formation energy: -847 meV per atom.

10.
MgZrCl2: single point on PBEsol structure, meta-GGA SCAN.

The structure belongs to space group R-3m (No. 166, hexagonal axes); the cell edges are 3.3416, 3.3416 and 25.1281 Å and the angles 90.00°, 90.00° and 120.00°. The asymmetric unit holds Mg at (0.0000, 0.0000, 0.0000), Zr at (0.0000, 0.0000, 0.5000) and Cl at (0.0000, 0.0000, 0.3929).

As for the crystal system: trigonal. The total energy comes out at -13.842 eV/atom. The offset from the most stable computed form is 0 meV/atom. As for the uncorrected formation energy: -935 meV per atom.

11.
Mg2ZrCl: single point on PBEsol structure, meta-GGA SCAN.

The structure belongs to space group Cmmm (No. 65); the cell edges are 5.6355, 9.5082 and 3.1205 Å and the angles 90.00°, 90.00° and 90.00°. The asymmetric unit holds Mg at (0.2500, 0.2500, 0.0000), Zr at (0.0000, 0.0000, 0.5000) and Cl at (0.0000, 0.5000, 0.5000).

As for the crystal system: orthorhombic. The total energy comes out at -12.354 eV/atom. The offset from the most stable computed form is 0 meV/atom. As for the uncorrected formation energy: -198 meV per atom.

12.
MgZrCl: single point on PBEsol structure, meta-GGA SCAN.

The structure belongs to space group Fmm2 (No. 42); the cell edges are 3.7848, 4.9555 and 13.7710 Å and the angles 90.00°, 90.00° and 90.00°. The asymmetric unit holds Mg at (0.0000, 0.0000, 0.0000), Zr at (0.0000, 0.0000, 0.3353) and Cl at (0.0000, 0.0000, 0.7016).

As for the crystal system: orthorhombic. The total energy comes out at -15.164 eV/atom. The offset from the most stable computed form is 0 meV/atom. As for the uncorrected formation energy: -614 meV per atom.

13.
MnCl: single point on PBEsol structure, meta-GGA SCAN.

The structure belongs to space group Cmmm (No. 65); the cell edges are 3.1113, 5.6709 and 3.8954 Å and the angles 90.00°, 90.00° and 90.00°. The asymmetric unit holds Mn at (0.0000, 0.0000, 0.0000) and Cl at (0.0000, 0.5000, 0.5000).

As for the crystal system: orthorhombic. The total energy comes out at -13.591 eV/atom. As for the uncorrected formation energy: -474 meV per atom.

14.
MnCl3: single point on PBEsol structure, meta-GGA SCAN.

The structure belongs to space group Fm-3m (No. 225); the cell edges are 6.6336, 6.6336 and 6.6336 Å and the angles 90.00°, 90.00° and 90.00°. The asymmetric unit holds Mn at (0.0000, 0.0000, 0.0000), Cl at (0.0000, 0.0000, 0.5000) and Cl at (0.2500, 0.2500, 0.2500).

As for the crystal system: cubic. The total energy comes out at -10.918 eV/atom. As for the uncorrected formation energy: -371 meV per atom.

15.
Mn2Cl: single point on PBEsol structure, meta-GGA SCAN.

The structure belongs to space group Fd-3m (No. 227, origin choice 2); the cell edges are 7.6432, 7.6432 and 7.6432 Å and the angles 90.00°, 90.00° and 90.00°. The asymmetric unit holds Mn at (0.0000, 0.0000, 0.0000) and Cl at (0.1250, 0.1250, 0.6250).

As for the crystal system: cubic. The total energy comes out at -14.787 eV/atom. As for the uncorrected formation energy: 42 meV per atom.

16.
MnCl3: single point on PBEsol structure, meta-GGA SCAN.

The structure belongs to space group Cmcm (No. 63); the cell edges are 6.4320, 17.1997 and 4.0920 Å and the angles 90.00°, 90.00° and 90.00°. The asymmetric unit holds Mn at (0.0000, 0.2197, 0.2500), Cl at (0.0000, 0.0191, 0.2500) and Cl at (0.2387, 0.1755, 0.7500).

As for the crystal system: orthorhombic. The total energy comes out at -11.530 eV/atom. As for the uncorrected formation energy: -983 meV per atom.

17.
Mn3Cl: single point on PBEsol structure, meta-GGA SCAN.

The structure belongs to space group P4/mmm (No. 123); the cell edges are 2.7834, 2.7834 and 6.9563 Å and the angles 90.00°, 90.00° and 90.00°. The asymmetric unit holds Mn at (0.0000, 0.0000, 0.0000), Mn at (0.5000, 0.5000, 0.2246) and Cl at (0.0000, 0.0000, 0.5000).

As for the crystal system: tetragonal. The total energy comes out at -15.774 eV/atom. As for the uncorrected formation energy: -88 meV per atom.

18.
MnCl: single point on PBEsol structure, meta-GGA SCAN.

The structure belongs to space group Pm-3m (No. 221); the cell edges are 3.1202, 3.1202 and 3.1202 Å and the angles 90.00°, 90.00° and 90.00°. The asymmetric unit holds Mn at (0.0000, 0.0000, 0.0000) and Cl at (0.5000, 0.5000, 0.5000).

As for the crystal system: cubic. The total energy comes out at -13.441 eV/atom. As for the uncorrected formation energy: -324 meV per atom.

19.
Mn2Cl: single point on PBEsol structure, meta-GGA SCAN.

The structure belongs to space group C2/m (No. 12); the cell edges are 9.0161, 2.9164 and 7.6807 Å and the angles 90.00°, 101.19° and 90.00°. The asymmetric unit holds Mn at (0.0457, 0.0000, 0.3692), Mn at (0.1681, 0.5000, 0.6093) and Cl at (0.1617, 0.5000, 0.1782).

As for the crystal system: monoclinic. The total energy comes out at -15.122 eV/atom. As for the uncorrected formation energy: -292 meV per atom.

20.
MnMoP2Cl: single point on PBEsol structure, meta-GGA SCAN.

The structure belongs to space group P4/mmm (No. 123); the cell edges are 4.4705, 4.4705 and 3.9606 Å and the angles 90.00°, 90.00° and 90.00°. The asymmetric unit holds Mn at (0.0000, 0.0000, 0.0000), Mo at (0.5000, 0.5000, 0.0000), P at (0.0000, 0.5000, 0.5000) and Cl at (0.0000, 0.0000, 0.5000).

As for the crystal system: tetragonal. The total energy comes out at -14.955 eV/atom. As for the uncorrected formation energy: 1428 meV per atom.